1.
A geometry-optimized Ac2Pm2Er structure, computed with PBE.

abc: 9.0455 9.0455 9.0455
angles: 148.40 148.40 45.30
Element x y z (fractional)
Ac 0.2500 0.7500 0.5000
Ac 0.7500 0.2500 0.5000
Pm 0.0905 0.0905 0.0000
Pm 0.9095 0.9095 0.0000
Er 0.5000 0.5000 0.0000

Calculated values
M_tot: 0.0 Bohr magnetons per cell
Distance to the lowest polymorph of the same formula: 5.90 kcal/mol of atoms
Fermi-level density of states: 8.99 states/eV per cell
Space-group type: I4/mmm, No. 139
Formation energy: 2.4 eV/f.u.

2.
A geometry-optimized YTaZn2 structure, computed with PBE.

abc: 3.0536 3.0536 8.0146
angles: 90.00 90.00 90.00
Element x y z (fractional)
Y 0.0000 0.0000 0.0000
Ta 0.0000 0.0000 0.5000
Zn 0.5000 0.5000 0.2712
Zn 0.5000 0.5000 0.7288

Calculated values
M_tot: 0.0 Bohr magnetons per cell
Distance to the lowest polymorph of the same formula: 0.36 kcal/mol of atoms
Fermi-level density of states: 3.38 states/eV per cell
Space-group type: P4/mmm, No. 123
Formation energy: -0.1 eV/f.u.

3.
A geometry-optimized Tb3Zn9Co2 structure, computed with PBE.

abc: 7.9377 7.9377 7.9377
angles: 148.57 109.11 79.59
Element x y z (fractional)
Tb 0.0000 0.0000 0.0000
Tb 0.3082 0.3082 0.0000
Tb 0.6918 0.6918 0.0000
Zn 0.0123 0.6543 0.3580
Zn 0.1582 0.8782 0.2800
Zn 0.2962 0.6543 0.6420
Zn 0.4018 0.1218 0.2800
Zn 0.5000 0.0000 0.5000
Zn 0.5982 0.8782 0.7200
Zn 0.7038 0.3457 0.3580
Zn 0.8418 0.1218 0.7200
Zn 0.9877 0.3457 0.6420
Co 0.3280 0.5000 0.8280
Co 0.6720 0.5000 0.1720

Calculated values
M_tot: 0.0 Bohr magnetons per cell
Fermi-level density of states: 8.97 states/eV per cell
Space-group type: Immm, No. 71
Formation energy: -3.8 eV/f.u.

4.
A geometry-optimized AlHgSe2Br structure, computed with PBE.

abc: 5.2378 5.2378 5.7640
angles: 90.00 90.00 90.00
Element x y z (fractional)
Al 0.0000 0.0000 0.0000
Hg 0.5000 0.5000 0.5000
Se 0.0000 0.5000 0.5000
Se 0.5000 0.0000 0.5000
Br 0.5000 0.5000 0.0000

Calculated values
M_tot: 0.0 Bohr magnetons per cell
Distance to the lowest polymorph of the same formula: 12.14 kcal/mol of atoms
Fermi-level density of states: 6.37 states/eV per cell
Space-group type: P4/mmm, No. 123

5.
A geometry-optimized TmZn11Fe structure, computed with PBE.

abc: 6.7547 6.7547 6.7029
angles: 98.38 98.38 134.98
Element x y z (fractional)
Tm 0.0000 0.0000 0.0000
Zn 0.0000 0.5000 0.0000
Zn 0.0121 0.6686 0.6444
Zn 0.2777 0.4930 0.7816
Zn 0.3314 0.9879 0.3556
Zn 0.4930 0.2777 0.7816
Zn 0.5000 0.0000 0.0000
Zn 0.5000 0.5000 0.5000
Zn 0.5070 0.7223 0.2184
Zn 0.6686 0.0121 0.6444
Zn 0.7223 0.5070 0.2184
Zn 0.9879 0.3314 0.3556
Fe 0.0000 0.0000 0.5000

Calculated values
M_tot: 2.2 Bohr magnetons per cell
Fermi-level density of states: 6.73 states/eV per cell
Space-group type: C2/m, No. 12
Formation energy: -1.7 eV/f.u.

6.
A geometry-optimized HoTm3Pd3 structure, computed with PBE.

abc: 6.8830 6.8830 7.0265
angles: 91.32 91.32 97.34
Element x y z (fractional)
Ho 0.2361 0.2361 0.3778
Ho 0.7639 0.7639 0.6222
Tm 0.1520 0.1520 0.8646
Tm 0.2504 0.7496 0.5000
Tm 0.3233 0.6767 0.0000
Tm 0.6767 0.3233 0.0000
Tm 0.7496 0.2504 0.5000
Tm 0.8480 0.8480 0.1354
Pd 0.0034 0.5111 0.7783
Pd 0.4387 0.4387 0.6942
Pd 0.4889 0.9966 0.2217
Pd 0.5111 0.0034 0.7783
Pd 0.5613 0.5613 0.3058
Pd 0.9966 0.4889 0.2217

Calculated values
M_tot: 0.0 Bohr magnetons per cell
Distance to the lowest polymorph of the same formula: 0.31 kcal/mol of atoms
Fermi-level density of states: 9.64 states/eV per cell
Space-group type: C2/m, No. 12
Formation energy: -5.1 eV/f.u.

7.
A geometry-optimized MgRhO3 structure, computed with PBE.

abc: 3.7388 3.7388 3.7388
angles: 90.00 90.00 90.00
Element x y z (fractional)
Mg 0.0000 0.0000 0.0000
Rh 0.5000 0.5000 0.5000
O 0.0000 0.0000 0.5000
O 0.0000 0.5000 0.0000
O 0.5000 0.0000 0.0000

Calculated values
M_tot: 0.0 Bohr magnetons per cell
Fermi-level density of states: 3.87 states/eV per cell
Space-group type: Pm-3m, No. 221
DFT total energy: -25.0 eV per formula unit

8.
A geometry-optimized Ga6IrAu structure, computed with PBE.

abc: 4.8500 4.8517 7.2998
angles: 98.27 100.82 113.46
Element x y z (fractional)
Ga 0.0520 0.1771 0.1880
Ga 0.2826 0.4252 0.8211
Ga 0.3509 0.8666 0.3104
Ga 0.6491 0.1334 0.6896
Ga 0.7174 0.5748 0.1789
Ga 0.9480 0.8229 0.8120
Ir 0.5000 0.0000 0.0000
Au 0.5000 0.5000 0.5000

Calculated values
M_tot: 0.0 Bohr magnetons per cell
Fermi-level density of states: 1.87 states/eV per cell
Space-group type: P-1, No. 2
Formation energy: -1.3 eV/f.u.

9.
A geometry-optimized ZrTcSeBr2 structure, computed with PBE.

abc: 4.9806 4.9806 4.8531
angles: 90.00 90.00 90.00
Element x y z (fractional)
Zr 0.0000 0.0000 0.0000
Tc 0.5000 0.5000 0.5000
Se 0.5000 0.5000 0.0000
Br 0.0000 0.5000 0.5000
Br 0.5000 0.0000 0.5000

Calculated values
M_tot: 0.0 Bohr magnetons per cell
Distance to the lowest polymorph of the same formula: 6.05 kcal/mol of atoms
Fermi-level density of states: 8.95 states/eV per cell
Space-group type: P4/mmm, No. 123

10.
A geometry-optimized YAsSCl2 structure, computed with PBE.

abc: 5.1903 5.1903 5.4807
angles: 90.00 90.00 90.00
Element x y z (fractional)
Y 0.0000 0.0000 0.0000
As 0.5000 0.5000 0.5000
S 0.0000 0.0000 0.5000
Cl 0.0000 0.5000 0.0000
Cl 0.5000 0.0000 0.0000

Calculated values
M_tot: 2.0 Bohr magnetons per cell
Distance to the lowest polymorph of the same formula: 0.00 kcal/mol of atoms
Fermi-level density of states: 1.12 states/eV per cell
Space-group type: P4/mmm, No. 123

11.
A geometry-optimized SrHf4N6 structure, computed with PBE.

abc: 5.5896 5.5896 16.8696
angles: 90.00 90.00 146.57
Element x y z (fractional)
Sr 0.1517 0.8483 0.7500
Sr 0.8483 0.1517 0.2500
Hf 0.1025 0.8975 0.1383
Hf 0.1025 0.8975 0.3617
Hf 0.3686 0.6314 0.0467
Hf 0.3686 0.6314 0.4533
Hf 0.6314 0.3686 0.5467
Hf 0.6314 0.3686 0.9533
Hf 0.8975 0.1025 0.6383
Hf 0.8975 0.1025 0.8617
N 0.0000 0.0000 0.0000
N 0.0000 0.0000 0.5000
N 0.1699 0.8301 0.2500
N 0.2645 0.7355 0.5788
N 0.2645 0.7355 0.9212
N 0.4745 0.5255 0.1490
N 0.4745 0.5255 0.3510
N 0.5255 0.4745 0.6490
N 0.5255 0.4745 0.8510
N 0.7355 0.2645 0.0788
N 0.7355 0.2645 0.4212
N 0.8301 0.1699 0.7500

Calculated values
M_tot: 0.0 Bohr magnetons per cell
Space-group type: Cmcm, No. 63
DFT total energy: -109.2 eV per formula unit

12.
A geometry-optimized La4CoAgPb structure, computed with PBE.

abc: 9.1483 9.1483 7.2450
angles: 90.00 90.00 132.98
Element x y z (fractional)
La 0.0000 0.5000 0.0000
La 0.0000 0.5000 0.5000
La 0.0687 0.9313 0.7500
La 0.4230 0.5770 0.7500
La 0.5000 0.0000 0.0000
La 0.5000 0.0000 0.5000
La 0.5770 0.4230 0.2500
La 0.9313 0.0687 0.2500
Co 0.2418 0.7582 0.7500
Co 0.7582 0.2418 0.2500
Ag 0.1166 0.8834 0.2500
Ag 0.8834 0.1166 0.7500
Pb 0.3874 0.6126 0.2500
Pb 0.6126 0.3874 0.7500

Calculated values
M_tot: 0.0 Bohr magnetons per cell
Fermi-level density of states: 18.01 states/eV per cell
Space-group type: Cmcm, No. 63
Formation energy: -1.8 eV/f.u.

13.
A geometry-optimized TbHF4 structure, computed with PBE.

abc: 4.3959 6.9719 5.2281
angles: 90.00 104.84 90.00
Element x y z (fractional)
Tb 0.0958 0.2500 0.1206
Tb 0.9042 0.7500 0.8794
H 0.4441 0.7500 0.3562
H 0.5559 0.2500 0.6438
F 0.1429 0.5638 0.2262
F 0.1429 0.9362 0.2262
F 0.3270 0.2500 0.5934
F 0.3860 0.7500 0.8214
F 0.6140 0.2500 0.1786
F 0.6730 0.7500 0.4066
F 0.8571 0.0638 0.7738
F 0.8571 0.4362 0.7738

Calculated values
M_tot: 0.0 Bohr magnetons per cell
Fermi-level density of states: 0.00 states/eV per cell
Space-group type: P2_1/m, No. 11
DFT total energy: -34.8 eV per formula unit

14.
A geometry-optimized NbSiP structure, computed with PBE.

abc: 4.6515 4.6515 6.6001
angles: 110.28 110.28 41.30
Element x y z (fractional)
Nb 0.0000 0.0000 0.0000
Nb 0.0000 0.0000 0.5000
Si 0.3301 0.3301 0.6642
Si 0.6699 0.6699 0.3358
P 0.3412 0.3412 0.1787
P 0.6588 0.6588 0.8213

Calculated values
M_tot: 0.0 Bohr magnetons per cell
Fermi-level density of states: 2.08 states/eV per cell
Space-group type: C2/m, No. 12
DFT total energy: -22.6 eV per formula unit

15.
A geometry-optimized HfCuPd3 structure, computed with PBE.

abc: 4.8530 4.8530 4.8530
angles: 90.00 90.00 90.00
Element x y z (fractional)
Hf 0.0000 0.0000 0.0000
Cu 0.5000 0.5000 0.5000
Pd 0.0000 0.0000 0.5000
Pd 0.0000 0.5000 0.0000
Pd 0.5000 0.0000 0.0000

Calculated values
M_tot: 0.0 Bohr magnetons per cell
Distance to the lowest polymorph of the same formula: 32.05 kcal/mol of atoms
Fermi-level density of states: 2.14 states/eV per cell
Space-group type: Pm-3m, No. 221
Formation energy: 3.8 eV/f.u.

16.
A geometry-optimized ZrBr2 structure, computed with PBE.

abc: 14.8585 14.8585 14.8585
angles: 167.00 167.00 18.43
Element x y z (fractional)
Zr 0.3750 0.6250 0.7500
Zr 0.6250 0.3750 0.2500
Br 0.0685 0.8185 0.2500
Br 0.1815 0.9315 0.2500
Br 0.8185 0.0685 0.7500
Br 0.9315 0.1815 0.7500

Calculated values
M_tot: 0.9 Bohr magnetons per cell
Fermi-level density of states: 1.26 states/eV per cell
Space-group type: I4_1/amd, No. 141
DFT total energy: -15.0 eV per formula unit

17.
A geometry-optimized CuC structure, computed with PBE.

abc: 3.7218 3.7218 5.1344
angles: 118.19 118.19 51.89
Element x y z (fractional)
Cu 0.0000 0.0000 0.0000
Cu 0.5509 0.5509 0.4712
C 0.1760 0.1760 0.7521
C 0.3268 0.3268 0.0463

Calculated values
M_tot: 0.0 Bohr magnetons per cell
Distance to the lowest polymorph of the same formula: 13.97 kcal/mol of atoms
Fermi-level density of states: 0.79 states/eV per cell
Space-group type: Cm, No. 8
Formation energy: 1.7 eV/f.u.

18.
A geometry-optimized BaLi4Tl2Sn structure, computed with PBE.

abc: 10.3199 10.3199 10.3199
angles: 27.14 27.14 27.14
Element x y z (fractional)
Ba 0.0000 0.0000 0.0000
Li 0.1363 0.1363 0.1363
Li 0.4107 0.4107 0.4107
Li 0.5893 0.5893 0.5893
Li 0.8637 0.8637 0.8637
Tl 0.2447 0.2447 0.2447
Tl 0.7553 0.7553 0.7553
Sn 0.5000 0.5000 0.5000

Calculated values
M_tot: 0.0 Bohr magnetons per cell
Fermi-level density of states: 4.74 states/eV per cell
Space-group type: R-3m, No. 166
Formation energy: -2.1 eV/f.u.